(1)
Material: Tb2AlSn2Rh5
Method: DFT, PBE
State: relaxed

Results
Space group: P4/mbm, No. 127
Calculated total energy (eV per atom): -6.39
Crystal system: tetragonal
Calculated formation energy (meV/atom): -610

a b c (Å): 3.5748 10.2274 10.2274
angles (deg): 90.00 90.00 90.00
Last column: nearest neighbours and their distance in Å.
Sites, in units of the cell vectors:
Tb  0.0000  0.6681  0.1681  3 Sn 2.88-3.10, 6 Rh 3.02-3.20
Tb  0.0000  0.3319  0.8319  3 Sn 2.88-3.10, 6 Rh 3.02-3.20
Tb  0.0000  0.1681  0.3319  3 Sn 2.88-3.10, 6 Rh 3.02-3.20
Tb  0.0000  0.8319  0.6681  3 Sn 2.88-3.10, 6 Rh 3.02-3.20
Al  0.0000  0.0000  0.0000  8 Rh 2.72
Al  0.0000  0.5000  0.5000  8 Rh 2.72
Sn  0.0000  0.1324  0.6324  6 Rh 2.62-2.65, 1 Tb 2.88
Sn  0.0000  0.8676  0.3676  6 Rh 2.62-2.65, 1 Tb 2.88
Sn  0.0000  0.6324  0.8676  6 Rh 2.62-2.65, 1 Tb 2.88
Sn  0.0000  0.3676  0.1324  6 Rh 2.62-2.65, 1 Tb 2.88
Rh  0.5000  0.1938  0.0523  2 Sn 2.65, 2 Al 2.72, 2 Rh 2.90
Rh  0.5000  0.8062  0.9477  2 Sn 2.65, 2 Al 2.72, 2 Rh 2.90
Rh  0.5000  0.0523  0.8062  2 Sn 2.65, 2 Al 2.72, 2 Rh 2.90
Rh  0.5000  0.6938  0.4477  2 Sn 2.65, 2 Al 2.72, 2 Rh 2.90
Rh  0.5000  0.9477  0.1938  2 Sn 2.65, 2 Al 2.72, 2 Rh 2.90
Rh  0.5000  0.3062  0.5523  2 Sn 2.65, 2 Al 2.72, 2 Rh 2.90
Rh  0.5000  0.5523  0.6938  2 Sn 2.65, 2 Al 2.72, 2 Rh 2.90
Rh  0.5000  0.4477  0.3062  2 Sn 2.65, 2 Al 2.72, 2 Rh 2.90
Rh  0.5000  0.5000  0.0000  4 Sn 2.62
Rh  0.5000  0.0000  0.5000  4 Sn 2.62

---

(2)
Material: Na2PuBr6
Method: DFT, PBE
State: relaxed

Results
E_form (uncorrected) (eV/f.u.): -12.78
Space group: P2_1/c, No. 14
Calculated total energy (eV per atom): -4.42
Crystal system: monoclinic

a b c (Å): 6.9951 7.3908 12.4123
angles (deg): 90.02 90.00 90.00
Last column: nearest neighbours and their distance in Å.
Sites, in units of the cell vectors:
Na  0.5004  0.0003  0.1797  6 Br 2.99-3.07
Na  0.0004  0.4997  0.3203  6 Br 2.99-3.07
Na  0.9996  0.5003  0.6797  6 Br 2.99-3.07
Na  0.4996  0.9997  0.8203  6 Br 2.99-3.07
Pu  0.5000  0.5000  0.0000  6 Br 2.77-2.78
Pu  0.0000  0.0000  0.5000  6 Br 2.77-2.78
Br  0.2259  0.1591  0.6579  1 Pu 2.78, 2 Na 2.99-3.02
Br  0.2277  0.1591  0.3430  1 Pu 2.78, 2 Na 2.99-3.02
Br  0.2767  0.1910  0.0003  1 Pu 2.77, 2 Na 3.06-3.07
Br  0.7767  0.3090  0.4997  1 Pu 2.77, 2 Na 3.06-3.07
Br  0.7277  0.3409  0.1570  1 Pu 2.78, 2 Na 2.99-3.02
Br  0.7259  0.3409  0.8421  1 Pu 2.78, 2 Na 2.99-3.02
Br  0.7741  0.8409  0.3421  1 Pu 2.78, 2 Na 2.99-3.02
Br  0.7723  0.8409  0.6570  1 Pu 2.78, 2 Na 2.99-3.02
Br  0.7233  0.8090  0.9997  1 Pu 2.77, 2 Na 3.06-3.07
Br  0.2233  0.6910  0.5003  1 Pu 2.77, 2 Na 3.06-3.07
Br  0.2723  0.6591  0.8430  1 Pu 2.78, 2 Na 2.99-3.02
Br  0.2741  0.6591  0.1579  1 Pu 2.78, 2 Na 2.99-3.02

---

(3)
Material: Sm6ErTm8
Method: DFT, PBE
State: relaxed

Results
Space group: P-3, No. 147
Calculated total energy (eV per atom): -4.33
Crystal system: trigonal
Calculated formation energy (meV/atom): 243

a b c (Å): 6.4928 9.3923 9.3923
angles (deg): 120.00 90.00 90.00
Last column: nearest neighbours and their distance in Å.
Sites, in units of the cell vectors:
Sm  0.5921  0.6796  0.0892  1 Sm 3.16, 3 Tm 3.21-3.44
Sm  0.5921  0.9108  0.5904  1 Sm 3.16, 3 Tm 3.21-3.44
Sm  0.5921  0.4096  0.3204  1 Sm 3.16, 3 Tm 3.21-3.44
Sm  0.4079  0.3204  0.9108  1 Sm 3.16, 3 Tm 3.21-3.44
Sm  0.4079  0.0892  0.4096  1 Sm 3.16, 3 Tm 3.21-3.44
Sm  0.4079  0.5904  0.6796  1 Sm 3.16, 3 Tm 3.21-3.44
Er  0.5000  0.0000  0.0000  6 Sm 3.55
Tm  0.9007  0.9767  0.3105  4 Sm 3.21-3.60, 4 Tm 3.29-3.45
Tm  0.9007  0.6895  0.6662  4 Sm 3.21-3.60, 4 Tm 3.29-3.45
Tm  0.9007  0.3338  0.0233  4 Sm 3.21-3.60, 4 Tm 3.29-3.45
Tm  0.0993  0.0233  0.6895  4 Sm 3.21-3.60, 4 Tm 3.29-3.45
Tm  0.0993  0.3105  0.3338  4 Sm 3.21-3.60, 4 Tm 3.29-3.45
Tm  0.0993  0.6662  0.9767  4 Sm 3.21-3.60, 4 Tm 3.29-3.45
Tm  0.8437  0.3333  0.6667  6 Tm 3.37-3.45, 3 Sm 3.68
Tm  0.1563  0.6667  0.3333  6 Tm 3.37-3.45, 3 Sm 3.68

---

(4)
Material: Nb3FeB4
Method: DFT, PBE
State: relaxed

Results
Space group: Immm, No. 71
Calculated total energy (eV per atom): -8.64
Crystal system: orthorhombic
Calculated formation energy (meV/atom): -466

a b c (Å): 3.3227 4.6892 6.5333
angles (deg): 111.03 104.73 90.00
Last column: nearest neighbours and their distance in Å.
Sites, in units of the cell vectors:
Nb  0.1897  0.1897  0.3793  6 B 2.34-2.35
Nb  0.8103  0.8103  0.6207  6 B 2.34-2.35
Nb  0.0000  0.5000  0.0000  8 B 2.38
Fe  0.5000  0.0000  0.0000  4 B 2.08
B  0.3751  0.5618  0.7503  1 B 1.75
B  0.6249  0.4382  0.2497  1 B 1.75
B  0.6249  0.8115  0.2497  1 B 1.75
B  0.3751  0.1885  0.7503  1 B 1.75

---

(5)
Material: AcEu2Hg
Method: DFT, PBE
State: relaxed

Results
Space group: P4/mmm, No. 123
Calculated total energy (eV per atom): -6.49
Crystal system: tetragonal
Calculated formation energy (meV/atom): -250

a b c (Å): 3.9057 3.9057 9.5820
angles (deg): 90.00 90.00 90.00
Last column: nearest neighbours and their distance in Å.
Sites, in units of the cell vectors:
Eu  0.0000  0.0000  0.8030  4 Hg 3.35
Eu  0.0000  0.0000  0.1970  4 Hg 3.35
Ac  0.5000  0.5000  0.5000  4 Ac 3.91, 8 Eu 4.01
Hg  0.5000  0.5000  0.0000  8 Eu 3.35

---

(6)
Material: MgSb2Pd2
Method: DFT, PBE
State: relaxed

Results
E_form (uncorrected) (eV/f.u.): -0.65
Space group: I4/mmm, No. 139
Calculated total energy (eV per atom): -4.17
Crystal system: tetragonal

a b c (Å): 4.6938 4.6938 6.2866
angles (deg): 68.08 68.08 90.00
Last column: nearest neighbours and their distance in Å.
Sites, in units of the cell vectors:
Sb  0.7500  0.2500  0.5000  4 Pd 2.70
Sb  0.2500  0.7500  0.5000  4 Pd 2.70
Mg  0.0000  0.0000  0.0000  8 Sb 3.55, 8 Pd 3.58
Pd  0.3754  0.3754  0.2491  1 Pd 2.66, 4 Sb 2.70
Pd  0.6246  0.6246  0.7509  1 Pd 2.66, 4 Sb 2.70

---

(7)
Material: SrCdOs
Method: DFT, PBE
State: relaxed

Results
Space group: I4mm, No. 107
Calculated total energy (eV per atom): -4.00
Crystal system: tetragonal
Calculated formation energy (meV/atom): 606

a b c (Å): 5.9970 5.9970 5.9970
angles (deg): 144.73 144.73 50.74
Last column: nearest neighbours and their distance in Å.
Sites, in units of the cell vectors:
Cd  0.9590  0.9590  0.0000  4 Os 2.76, 1 Sr 3.09
Os  0.3668  0.3668  0.0000  4 Cd 2.76
Sr  0.6742  0.6742  0.0000  1 Cd 3.09, 5 Os 3.31-3.33

---

(8)
Material: TmLuZrAl
Method: DFT, PBE
State: relaxed

Results
Space group: F-43m, No. 216
Calculated total energy (eV per atom): -5.35
Crystal system: cubic
Calculated formation energy (meV/atom): -32

a b c (Å): 5.1057 5.1057 5.1057
angles (deg): 60.00 60.00 60.00
Last column: nearest neighbours and their distance in Å.
Sites, in units of the cell vectors:
Lu  0.0000  0.0000  0.0000  4 Tm 3.13, 4 Zr 3.13
Tm  0.7500  0.7500  0.7500  4 Al 3.13, 4 Lu 3.13
Al  0.5000  0.5000  0.5000  4 Tm 3.13, 4 Zr 3.13
Zr  0.2500  0.2500  0.2500  4 Al 3.13, 4 Lu 3.13

---

(9)
Material: Er2TlCd5
Method: DFT, PBE
State: relaxed

Results
Space group: Pbam, No. 55
Calculated total energy (eV per atom): -2.24
Crystal system: orthorhombic
Calculated formation energy (meV/atom): -229

a b c (Å): 4.3710 6.6404 13.3081
angles (deg): 90.00 90.00 90.00
Last column: nearest neighbours and their distance in Å.
Sites, in units of the cell vectors:
Er  0.5000  0.2387  0.6217  2 Tl 3.15, 10 Cd 3.21-3.37
Er  0.5000  0.7613  0.3783  2 Tl 3.15, 10 Cd 3.21-3.37
Er  0.5000  0.2613  0.1217  2 Tl 3.15, 10 Cd 3.21-3.37
Er  0.5000  0.7387  0.8783  2 Tl 3.15, 10 Cd 3.21-3.37
Tl  0.0000  0.0000  0.5000  4 Er 3.15, 8 Cd 3.31-3.38
Tl  0.0000  0.5000  0.0000  4 Er 3.15, 8 Cd 3.31-3.38
Cd  0.0000  0.0000  0.0000  6 Cd 3.20-3.28, 4 Er 3.23, 2 Tl 3.32
Cd  0.0000  0.5000  0.5000  6 Cd 3.20-3.28, 4 Er 3.23, 2 Tl 3.32
Cd  0.0000  0.4896  0.7464  7 Cd 3.13-3.32, 4 Er 3.21-3.25, 1 Tl 3.38
Cd  0.0000  0.5104  0.2536  7 Cd 3.13-3.32, 4 Er 3.21-3.25, 1 Tl 3.38
Cd  0.0000  0.0104  0.2464  7 Cd 3.13-3.32, 4 Er 3.21-3.25, 1 Tl 3.38
Cd  0.0000  0.9896  0.7536  7 Cd 3.13-3.32, 4 Er 3.21-3.25, 1 Tl 3.38
Cd  0.5000  0.2347  0.8687  6 Cd 3.13-3.21, 4 Er 3.29-3.37, 2 Tl 3.31
Cd  0.5000  0.7653  0.1313  6 Cd 3.13-3.21, 4 Er 3.29-3.37, 2 Tl 3.31
Cd  0.5000  0.2653  0.3687  6 Cd 3.13-3.21, 4 Er 3.29-3.37, 2 Tl 3.31
Cd  0.5000  0.7347  0.6313  6 Cd 3.13-3.21, 4 Er 3.29-3.37, 2 Tl 3.31

---

(10)
Material: Sr2Tl6CdRh
Method: DFT, PBE
State: relaxed

Results
Space group: R-3m, No. 166
Calculated total energy (eV per atom): -2.69
Crystal system: trigonal
Calculated formation energy (meV/atom): -110

a b c (Å): 7.5051 7.5051 13.3099
angles (deg): 73.62 73.62 60.00
Last column: nearest neighbours and their distance in Å.
Sites, in units of the cell vectors:
Sr  0.8954  0.8954  0.3139  12 Tl 3.65-3.98, 1 Rh 3.95
Sr  0.1046  0.1046  0.6861  12 Tl 3.65-3.98, 1 Rh 3.95
Sr  0.7191  0.7191  0.8426  12 Tl 3.61-3.84
Sr  0.2809  0.2809  0.1574  12 Tl 3.61-3.84
Tl  0.9182  0.3384  0.4049  1 Rh 2.78, 1 Cd 2.98
Tl  0.3384  0.9182  0.4049  1 Rh 2.78, 1 Cd 2.98
Tl  0.3384  0.3384  0.4049  1 Rh 2.78, 1 Cd 2.98
Tl  0.0818  0.6616  0.5951  1 Rh 2.78, 1 Cd 2.98
Tl  0.6616  0.0818  0.5951  1 Rh 2.78, 1 Cd 2.98
Tl  0.6616  0.6616  0.5951  1 Rh 2.78, 1 Cd 2.98
Tl  0.6598  0.2188  0.9027  1 Rh 2.71, 1 Cd 2.97
Tl  0.2188  0.6598  0.9027  1 Rh 2.71, 1 Cd 2.97
Tl  0.2188  0.2188  0.9027  1 Rh 2.71, 1 Cd 2.97
Tl  0.3402  0.7812  0.0973  1 Rh 2.71, 1 Cd 2.97
Tl  0.7812  0.3402  0.0973  1 Rh 2.71, 1 Cd 2.97
Tl  0.7812  0.7812  0.0973  1 Rh 2.71, 1 Cd 2.97
Cd  0.5741  0.5741  0.2776  1 Rh 2.80, 6 Tl 2.97-2.98
Cd  0.4259  0.4259  0.7224  1 Rh 2.80, 6 Tl 2.97-2.98
Rh  0.0000  0.0000  0.0000  6 Tl 2.71
Rh  0.5000  0.5000  0.5000  6 Tl 2.78, 2 Cd 2.80

---

(11)
Material: NpAsS
Method: DFT, PBE
State: relaxed

Results
E_form (uncorrected) (eV/f.u.): -3.22
Space group: I4/mmm, No. 139
Calculated total energy (eV per atom): -8.31
Crystal system: tetragonal

a b c (Å): 3.8659 3.8659 8.6140
angles (deg): 102.97 102.97 90.00
Last column: nearest neighbours and their distance in Å.
Sites, in units of the cell vectors:
Np  0.3533  0.3533  0.7066  5 S 2.78-2.80, 4 As 3.08
Np  0.6467  0.6467  0.2934  5 S 2.78-2.80, 4 As 3.08
As  0.0000  0.5000  0.0000  4 As 2.73
As  0.5000  0.0000  0.0000  4 As 2.73
S  0.1829  0.1829  0.3657  5 Np 2.78-2.80
S  0.8171  0.8171  0.6343  5 Np 2.78-2.80

---

| no. | Fermi-level density of states (states/eV/f.u.) |
| --- | --- |
| 1 | 4.495 |
| 2 | 5.467 |
| 3 | 21.268 |
| 4 | 3.767 |
| 5 | 13.916 |
| 6 | 2.545 |
| 7 | 2.248 |
| 8 | 6.754 |
| 9 | 6.869 |
| 10 | 5.877 |
| 11 | 6.922 |